## FeWCl2 (PBE)

Data for crystalline FeWCl2 at its relaxed geometry.

Energy above the lowest structure with this stoichiometry ... 1304 meV per atom
Symmetry ... Fm-3m (225)
Formation energy (no corrections) ... 1166.9 meV/atom
DOS(E_F) ... 16.753 states/eV/cell
Total energy ... -5.110 eV/atom
Magnetic moment ... 0.0 μB/cell

Lattice parameters (Å, degrees): 6.013 6.013 6.013 90.00 90.00 90.00
Positions (direct):
Fe  0.000  0.000  0.000
Fe  0.000  0.500  0.500
Fe  0.500  0.000  0.500
Fe  0.500  0.500  0.000
W  0.000  0.000  0.500
W  0.000  0.500  0.000
W  0.500  0.000  0.000
W  0.500  0.500  0.500
Cl  0.250  0.250  0.250
Cl  0.250  0.250  0.750
Cl  0.250  0.750  0.250
Cl  0.250  0.750  0.750
Cl  0.750  0.250  0.250
Cl  0.750  0.250  0.750
Cl  0.750  0.750  0.250
Cl  0.750  0.750  0.750